Entry 1:
# BaCa2Zn

A PBEsol-optimized structure of BaCa2Zn (meta-GGA SCAN, Alexandria via LeMat-Bulk).

Output
Fermi-level density of states in states/eV per atom: 0.496
V in Å³/cell: 546
Mass density in Mg/m³: 3.44
Energy in eV/atom: -18.0124
Energy relative to the elements in eV per formula unit: 0.34

a b c (Å): 8.174 8.174 8.174
angles (deg): 90.00 90.00 90.00
Positions (direct):
Ba (0.000, 0.000, 0.000)
Ba (0.000, 0.500, 0.500)
Ba (0.500, 0.000, 0.500)
Ba (0.500, 0.500, 0.000)
Ca (0.000, 0.000, 0.500)
Ca (0.000, 0.500, 0.000)
Ca (0.250, 0.250, 0.750)
Ca (0.250, 0.750, 0.250)
Ca (0.500, 0.000, 0.000)
Ca (0.500, 0.500, 0.500)
Ca (0.750, 0.250, 0.250)
Ca (0.750, 0.750, 0.750)
Zn (0.250, 0.250, 0.250)
Zn (0.250, 0.750, 0.750)
Zn (0.750, 0.250, 0.750)
Zn (0.750, 0.750, 0.250)


Entry 2:
# CaBi2SBr

A PBEsol-optimized structure of CaBi2SBr (meta-GGA SCAN, Alexandria via LeMat-Bulk).

Output
Fermi-level density of states in states/eV per atom: 1.269
V in Å³/cell: 157
Mass density in Mg/m³: 6.02
Energy in eV/atom: -38.8150
Formation energy (no corrections) in eV/atom: 0.37

a b c (Å): 5.575 5.575 5.063
angles (deg): 90.00 90.00 90.00
Positions (direct):
Ca (0.000, 0.000, 0.000)
Bi (0.000, 0.500, 0.500)
Bi (0.500, 0.000, 0.500)
S (0.500, 0.500, 0.000)
Br (0.500, 0.500, 0.500)


Entry 3:
# KMgPb2

A PBEsol-optimized structure of KMgPb2 (meta-GGA SCAN, Alexandria via LeMat-Bulk).

Output
Fermi-level density of states in states/eV per atom: 0.285
V in Å³/cell: 238
Mass density in Mg/m³: 6.67
Energy in eV/atom: -41.3310
Energy relative to the elements in eV per formula unit: -0.46

a b c (Å): 4.998 5.007 9.508
angles (deg): 90.00 90.00 90.00
Positions (direct):
K (0.000, 0.000, 0.000)
K (0.500, 0.500, 0.500)
Mg (0.000, 0.500, 0.751)
Mg (0.500, 0.000, 0.251)
Pb (0.000, 0.000, 0.500)
Pb (0.000, 0.500, 0.250)
Pb (0.500, 0.000, 0.750)
Pb (0.500, 0.500, 0.000)


Entry 4:
# SiTcOs2

A PBEsol-optimized structure of SiTcOs2 (meta-GGA SCAN, Alexandria via LeMat-Bulk).

Output
Fermi-level density of states in states/eV per atom: 0.854
V in Å³/cell: 111
Mass density in Mg/m³: 15.18
Energy in eV/atom: -46.8765
Formation energy (no corrections) in eV/atom: 0.33

a b c (Å): 5.235 8.555 2.735
angles (deg): 90.00 115.23 90.00
Positions (direct):
Si (0.000, 0.000, 0.000)
Si (0.500, 0.500, 0.000)
Tc (0.000, 0.500, 0.000)
Tc (0.500, 0.000, 0.000)
Os (0.250, 0.250, 0.500)
Os (0.250, 0.750, 0.500)
Os (0.750, 0.250, 0.500)
Os (0.750, 0.750, 0.500)


Entry 5:
# TlCdPt4

A PBEsol-optimized structure of TlCdPt4 (meta-GGA SCAN, Alexandria via LeMat-Bulk).

Output
Fermi-level density of states in states/eV per atom: 0.593
V in Å³/cell: 107
Mass density in Mg/m³: 17.07
Energy in eV/atom: -64.0208
Energy relative to the elements in eV per formula unit: -0.58

a b c (Å): 5.325 5.325 5.325
angles (deg): 60.00 60.00 60.00
Positions (direct):
Tl (0.000, 0.000, 0.000)
Cd (0.250, 0.250, 0.250)
Pt (0.125, 0.625, 0.625)
Pt (0.625, 0.125, 0.625)
Pt (0.625, 0.625, 0.125)
Pt (0.625, 0.625, 0.625)


Entry 6:
# SiBi2PtBr

A PBEsol-optimized structure of SiBi2PtBr (meta-GGA SCAN, Alexandria via LeMat-Bulk).

Output
Fermi-level density of states in states/eV per atom: 0.735
V in Å³/cell: 134
Mass density in Mg/m³: 8.96
Energy in eV/atom: -51.0143
Formation energy (no corrections) in eV/atom: 0.35

a b c (Å): 5.473 5.473 4.463
angles (deg): 90.00 90.00 90.00
Positions (direct):
Si (0.000, 0.000, 0.000)
Bi (0.000, 0.500, 0.000)
Bi (0.500, 0.000, 0.000)
Pt (0.000, 0.000, 0.500)
Br (0.500, 0.500, 0.500)


Entry 7:
# BaAl2

A PBEsol-optimized structure of BaAl2 (meta-GGA SCAN, Alexandria via LeMat-Bulk).

Output
Fermi-level density of states in states/eV per atom: 0.444
V in Å³/cell: 354
Mass density in Mg/m³: 3.59
Energy in eV/atom: -18.5330
Energy relative to the elements in eV per formula unit: -0.55

a b c (Å): 4.031 7.154 12.282
angles (deg): 90.00 90.00 90.00
Positions (direct):
Ba (0.000, 0.000, 0.165)
Ba (0.000, 0.000, 0.835)
Ba (0.500, 0.500, 0.335)
Ba (0.500, 0.500, 0.665)
Al (0.000, 0.190, 0.500)
Al (0.000, 0.500, 0.108)
Al (0.000, 0.500, 0.892)
Al (0.000, 0.810, 0.500)
Al (0.500, 0.000, 0.392)
Al (0.500, 0.000, 0.608)
Al (0.500, 0.310, 0.000)
Al (0.500, 0.690, 0.000)


Entry 8:
# AlCoN2O

A PBEsol-optimized structure of AlCoN2O (meta-GGA SCAN, Alexandria via LeMat-Bulk).

Output
Fermi-level density of states in states/eV per atom: 0.232
V in Å³/cell: 49
Mass density in Mg/m³: 4.42
Energy in eV/atom: -9.7510
Formation energy (no corrections) in eV/atom: 0.22

a b c (Å): 3.698 3.698 3.571
angles (deg): 90.00 90.00 90.00
Positions (direct):
Al (0.000, 0.000, 0.000)
Co (0.500, 0.500, 0.500)
N (0.000, 0.500, 0.000)
N (0.500, 0.000, 0.000)
O (0.000, 0.000, 0.500)


Entry 9:
# CdCoOF2

A PBEsol-optimized structure of CdCoOF2 (meta-GGA SCAN, Alexandria via LeMat-Bulk).

Output
Fermi-level density of states in states/eV per atom: 0.727
V in Å³/cell: 75
Mass density in Mg/m³: 5.02
Energy in eV/atom: -12.9534
Formation energy (no corrections) in eV/atom: -0.75

a b c (Å): 4.198 4.198 4.232
angles (deg): 90.00 90.00 90.00
Positions (direct):
Cd (0.000, 0.000, 0.000)
Co (0.500, 0.500, 0.500)
O (0.000, 0.000, 0.500)
F (0.000, 0.500, 0.000)
F (0.500, 0.000, 0.000)


Entry 10:
# YSc2W

A PBEsol-optimized structure of YSc2W (meta-GGA SCAN, Alexandria via LeMat-Bulk).

Output
Fermi-level density of states in states/eV per atom: 1.193
Energy above the lowest structure with this stoichiometry in eV/atom: 0.045
V in Å³/cell: 86
Mass density in Mg/m³: 7.04
Energy in eV/atom: -31.1259
Energy relative to the elements in eV per formula unit: 1.50

a b c (Å): 3.034 4.647 6.228
angles (deg): 90.00 103.09 90.00
Positions (direct):
Y (0.000, 0.000, 0.000)
Sc (0.404, 0.500, 0.717)
Sc (0.596, 0.500, 0.283)
W (0.000, 0.000, 0.500)


Entry 11:
# Ti3Pt5

A PBEsol-optimized structure of Ti3Pt5 (meta-GGA SCAN, Alexandria via LeMat-Bulk).

Output
Fermi-level density of states in states/eV per atom: 0.513
V in Å³/cell: 240
Mass density in Mg/m³: 15.46
Energy in eV/atom: -51.0270
Energy relative to the elements in eV per formula unit: -9.16

a b c (Å): 7.325 7.325 7.325
angles (deg): 136.52 83.48 112.83
Positions (direct):
Ti (0.143, 0.713, 0.856)
Ti (0.250, 0.250, 0.000)
Ti (0.357, 0.213, 0.570)
Ti (0.643, 0.787, 0.430)
Ti (0.750, 0.750, 0.000)
Ti (0.857, 0.287, 0.144)
Pt (0.006, 0.250, 0.756)
Pt (0.106, 0.216, 0.322)
Pt (0.250, 0.750, 0.500)
Pt (0.394, 0.716, 0.110)
Pt (0.494, 0.250, 0.244)
Pt (0.506, 0.750, 0.756)
Pt (0.606, 0.284, 0.890)
Pt (0.750, 0.250, 0.500)
Pt (0.894, 0.784, 0.678)
Pt (0.994, 0.750, 0.244)


Entry 12:
# LiLaSb2

A PBEsol-optimized structure of LiLaSb2 (meta-GGA SCAN, Alexandria via LeMat-Bulk).

Output
Fermi-level density of states in states/eV per atom: 0.399
V in Å³/cell: 101
Mass density in Mg/m³: 6.40
Energy in eV/atom: -30.7591
Formation energy (no corrections) in eV/atom: -0.76

a b c (Å): 3.382 4.305 6.939
angles (deg): 90.00 90.00 90.00
Positions (direct):
Li (0.000, 0.000, 0.000)
La (0.000, 0.000, 0.500)
Sb (0.500, 0.500, 0.225)
Sb (0.500, 0.500, 0.775)


Entry 13:
# Ta3NO6

A PBEsol-optimized structure of Ta3NO6 (meta-GGA SCAN, Alexandria via LeMat-Bulk).

Output
Fermi-level density of states in states/eV per atom: 0.000
V in Å³/cell: 413
Mass density in Mg/m³: 7.87
Energy in eV/atom: -27.4057
Formation energy (no corrections) in eV/atom: -2.76

a b c (Å): 10.539 10.539 11.920
angles (deg): 119.46 119.46 21.12
Positions (direct):
Ta (0.000, 0.000, 0.000)
Ta (0.107, 0.107, 0.368)
Ta (0.524, 0.524, 0.629)
Ta (0.632, 0.632, 0.000)
Ta (0.710, 0.710, 0.625)
Ta (0.735, 0.735, 0.373)
Ta (0.815, 0.815, 0.998)
Ta (0.896, 0.896, 0.630)
Ta (0.924, 0.924, 0.372)
N (0.643, 0.643, 0.403)
N (0.791, 0.791, 0.580)
N (0.987, 0.987, 0.588)
O (0.020, 0.020, 0.376)
O (0.063, 0.063, 0.189)
O (0.106, 0.106, 0.997)
O (0.187, 0.187, 0.579)
O (0.217, 0.217, 0.370)
O (0.316, 0.316, 0.999)
O (0.414, 0.414, 0.623)
O (0.441, 0.441, 0.412)
O (0.525, 0.525, 0.001)
O (0.569, 0.569, 0.808)
O (0.608, 0.608, 0.611)
O (0.687, 0.687, 0.188)
O (0.717, 0.717, 0.988)
O (0.765, 0.765, 0.804)
O (0.839, 0.839, 0.412)
O (0.864, 0.864, 0.194)
O (0.915, 0.915, 0.011)
O (0.945, 0.945, 0.811)


Entry 14:
# LaRh2W

A PBEsol-optimized structure of LaRh2W (meta-GGA SCAN, Alexandria via LeMat-Bulk).

Output
Fermi-level density of states in states/eV per atom: 0.791
Energy above the lowest structure with this stoichiometry in eV/atom: 0.298
V in Å³/cell: 151
Mass density in Mg/m³: 11.65
Energy in eV/atom: -44.9594
Energy relative to the elements in eV per formula unit: 0.50

a b c (Å): 4.061 5.082 7.300
angles (deg): 90.00 90.00 90.00
Positions (direct):
La (0.000, 0.000, 0.000)
La (0.500, 0.500, 0.500)
Rh (0.000, 0.500, 0.207)
Rh (0.000, 0.500, 0.793)
Rh (0.500, 0.000, 0.293)
Rh (0.500, 0.000, 0.707)
W (0.000, 0.000, 0.500)
W (0.500, 0.500, 0.000)


Entry 15:
# SiPtSe2Br

A PBEsol-optimized structure of SiPtSe2Br (meta-GGA SCAN, Alexandria via LeMat-Bulk).

Output
Fermi-level density of states in states/eV per atom: 1.058
Energy above the lowest structure with this stoichiometry in eV/atom: 0.280
V in Å³/cell: 106
Mass density in Mg/m³: 7.23
Energy in eV/atom: -27.0867
Formation energy (no corrections) in eV/atom: 0.88

a b c (Å): 4.786 4.786 4.619
angles (deg): 90.00 90.00 90.00
Positions (direct):
Si (0.000, 0.000, 0.000)
Pt (0.500, 0.500, 0.500)
Se (0.000, 0.500, 0.000)
Se (0.500, 0.000, 0.000)
Br (0.000, 0.000, 0.500)


Entry 16:
# Li2Mn3F8

A PBEsol-optimized structure of Li2Mn3F8 (meta-GGA SCAN, Alexandria via LeMat-Bulk).

Output
Fermi-level density of states in states/eV per atom: 0.000
Energy above the lowest structure with this stoichiometry in eV/atom: 0.047
V in Å³/cell: 318
Mass density in Mg/m³: 3.46
Energy in eV/atom: -9.6587
Formation energy (no corrections) in eV/atom: -2.90

a b c (Å): 5.324 9.265 6.444
angles (deg): 90.00 90.00 90.00
Positions (direct):
Li (0.018, 0.182, 0.000)
Li (0.482, 0.682, 0.500)
Li (0.518, 0.318, 0.500)
Li (0.982, 0.818, 0.000)
Mn (0.000, 0.000, 0.500)
Mn (0.000, 0.500, 0.265)
Mn (0.000, 0.500, 0.735)
Mn (0.500, 0.000, 0.235)
Mn (0.500, 0.000, 0.765)
Mn (0.500, 0.500, 0.000)
F (0.148, 0.380, 0.000)
F (0.168, 0.116, 0.258)
F (0.168, 0.116, 0.742)
F (0.181, 0.387, 0.500)
F (0.319, 0.887, 0.000)
F (0.332, 0.616, 0.242)
F (0.332, 0.616, 0.758)
F (0.352, 0.880, 0.500)
F (0.648, 0.120, 0.500)
F (0.668, 0.384, 0.242)
F (0.668, 0.384, 0.758)
F (0.681, 0.113, 0.000)
F (0.819, 0.613, 0.500)
F (0.832, 0.884, 0.258)
F (0.832, 0.884, 0.742)
F (0.852, 0.620, 0.000)


Entry 17:
# Ca2TlP2

A PBEsol-optimized structure of Ca2TlP2 (meta-GGA SCAN, Alexandria via LeMat-Bulk).

Output
Fermi-level density of states in states/eV per atom: 0.362
V in Å³/cell: 248
Mass density in Mg/m³: 4.64
Energy in eV/atom: -23.1585
Energy relative to the elements in eV per formula unit: -3.31

a b c (Å): 4.898 4.898 10.347
angles (deg): 90.00 90.00 90.00
Positions (direct):
Ca (0.000, 0.500, 0.250)
Ca (0.000, 0.500, 0.750)
Ca (0.500, 0.000, 0.250)
Ca (0.500, 0.000, 0.750)
Tl (0.000, 0.000, 0.000)
Tl (0.500, 0.500, 0.500)
P (0.000, 0.000, 0.392)
P (0.000, 0.000, 0.608)
P (0.500, 0.500, 0.108)
P (0.500, 0.500, 0.892)


Entry 18:
# Ru2WSe

A PBEsol-optimized structure of Ru2WSe (meta-GGA SCAN, Alexandria via LeMat-Bulk).

Output
Fermi-level density of states in states/eV per atom: 0.753
V in Å³/cell: 117
Mass density in Mg/m³: 13.19
Energy in eV/atom: -39.4016
Formation energy (no corrections) in eV/atom: 0.45

a b c (Å): 5.777 7.032 2.882
angles (deg): 90.00 90.00 90.00
Positions (direct):
Ru (0.250, 0.250, 0.000)
Ru (0.250, 0.750, 0.000)
Ru (0.750, 0.250, 0.000)
Ru (0.750, 0.750, 0.000)
W (0.000, 0.000, 0.500)
W (0.500, 0.500, 0.500)
Se (0.000, 0.500, 0.500)
Se (0.500, 0.000, 0.500)


Entry 19:
# LiTa2Pb

A PBEsol-optimized structure of LiTa2Pb (meta-GGA SCAN, Alexandria via LeMat-Bulk).

Output
Fermi-level density of states in states/eV per atom: 0.339
V in Å³/cell: 142
Mass density in Mg/m³: 13.49
Energy in eV/atom: -52.6493
Energy relative to the elements in eV per formula unit: 0.74

a b c (Å): 3.620 4.227 9.270
angles (deg): 90.00 90.00 90.00
Positions (direct):
Li (0.000, 0.000, 0.000)
Li (0.500, 0.500, 0.500)
Ta (0.000, 0.500, 0.257)
Ta (0.000, 0.500, 0.743)
Ta (0.500, 0.000, 0.243)
Ta (0.500, 0.000, 0.757)
Pb (0.000, 0.000, 0.500)
Pb (0.500, 0.500, 0.000)


Entry 20:
# HfMg2Sb2

A PBEsol-optimized structure of HfMg2Sb2 (meta-GGA SCAN, Alexandria via LeMat-Bulk).

Output
Fermi-level density of states in states/eV per atom: 0.527
V in Å³/cell: 233
Mass density in Mg/m³: 6.72
Energy in eV/atom: -29.6412
Formation energy (no corrections) in eV/atom: -0.21

a b c (Å): 7.530 7.530 4.101
angles (deg): 90.00 90.00 90.00
Positions (direct):
Hf (0.000, 0.000, 0.000)
Hf (0.500, 0.500, 0.000)
Mg (0.155, 0.345, 0.500)
Mg (0.345, 0.845, 0.500)
Mg (0.655, 0.155, 0.500)
Mg (0.845, 0.655, 0.500)
Sb (0.155, 0.655, 0.000)
Sb (0.345, 0.155, 0.000)
Sb (0.655, 0.845, 0.000)
Sb (0.845, 0.345, 0.000)